# Re3Mo (PBE-GGA, relaxed)
# ρ in g cm⁻³: 10.22
# DFT formation energy in eV/f.u.: 12.9
# Spin magnetization in μB/f.u.: 2.0
data_Re3Mo
_chemical_formula_sum 'Re3 Mo1'
_cell_length_a 4.7372
_cell_length_b 4.7372
_cell_length_c 4.7372
_cell_angle_alpha 90.00
_cell_angle_beta 90.00
_cell_angle_gamma 90.00
_symmetry_space_group_name_H-M 'P m -3 m'
_symmetry_Int_Tables_number 221
_symmetry_space_group_name_Hall '-P 4 2 3'
loop_
_atom_site_label
_atom_site_type_symbol
_atom_site_fract_x
_atom_site_fract_y
_atom_site_fract_z
Re1 Re 0.0000 0.0000 0.5000
Mo1 Mo 0.0000 0.0000 0.0000